Crystalline LiInFeAg at its relaxed geometry. Source: the Open Quantum Materials Database, functional PBE.

The space group is F-43m (No. 216) and the conventional cell measures 6.388, 6.388 and 6.388 Å, with angles of 90.00, 90.00 and 90.00 degrees. The distinct sites, in fractional coordinates, are Li at (0.000, 0.000, 0.000), In at (0.250, 0.250, 0.250), Fe at (0.000, 0.000, 0.500) and Ag at (0.250, 0.250, 0.750).

The total moment is 0.667 μB/atom. The calculated density comes out at 7.3 Mg/m³. The value obtained for the volume is 16.3 A^3/atom. The relative energy among the computed polymorphs is 0.0 meV per atom.